(1)
VASP calculation (PBE) on crystalline Ca3Tm2PaSb6 at its relaxed geometry.

POSCAR file:
```
Ca3Tm2PaSb6
1.0
3.828 -6.631 0.000
3.828 6.631 0.000
-2.551 0.000 7.330
Ca Tm Pa Sb
3 2 1 6
direct
0.000 0.000 0.000
0.332 0.668 0.000
0.668 0.332 0.000
0.167 0.833 0.500
0.833 0.167 0.500
0.500 0.500 0.500
0.091 0.422 0.265
0.247 0.247 0.735
0.422 0.091 0.265
0.578 0.909 0.735
0.753 0.753 0.265
0.909 0.578 0.735
```

## Properties
* DOS at the Fermi energy: 7.24 states/eV/cell
* formation energy from raw total energies: -86.7 kJ/mol of atoms
* uncorrected energy: -5.00 eV per atom
* calculated density: 6.34 g/cm³



(2)
VASP calculation (PBE) on crystalline Ca3Y2PaSb6 at its relaxed geometry.

POSCAR file:
```
Ca3Y2PaSb6
1.0
3.853 -6.676 0.000
3.853 6.676 0.000
-2.569 0.000 7.326
Ca Y Pa Sb
3 2 1 6
direct
0.000 0.000 0.000
0.331 0.669 0.000
0.669 0.331 0.000
0.166 0.834 0.500
0.834 0.166 0.500
0.500 0.500 0.500
0.093 0.421 0.263
0.252 0.252 0.737
0.421 0.093 0.263
0.579 0.907 0.737
0.748 0.748 0.263
0.907 0.579 0.737
```

## Properties
* DOS at the Fermi energy: 7.41 states/eV/cell
* formation energy from raw total energies: -89.6 kJ/mol of atoms
* uncorrected energy: -5.36 eV per atom
* calculated density: 5.55 g/cm³



(3)
VASP calculation (PBE) on crystalline Ca3ZrPa2Sb6 at its relaxed geometry.

POSCAR file:
```
Ca3ZrPa2Sb6
1.0
3.777 -6.545 0.000
3.777 6.545 0.000
-2.525 0.000 7.341
Ca Zr Pa Sb
3 1 2 6
direct
0.000 0.000 0.000
0.330 0.670 0.000
0.670 0.330 0.000
0.500 0.500 0.500
0.166 0.834 0.500
0.834 0.166 0.500
0.096 0.423 0.267
0.253 0.253 0.736
0.423 0.096 0.267
0.577 0.904 0.733
0.747 0.747 0.264
0.904 0.577 0.733
```

## Properties
* DOS at the Fermi energy: 10.35 states/eV/cell
* formation energy from raw total energies: -72.5 kJ/mol of atoms
* uncorrected energy: -5.61 eV per atom
* calculated density: 6.42 g/cm³